[1]
First-principles (PBE) data for Cs7Hg2O2 after structural relaxation, as listed in Alexandria via LeMat-Bulk.

It has space group C2/m (No. 12), with a = 9.874 Å, b = 14.402 Å, c = 9.002 Å, α = 90.00°, β = 101.24° and γ = 90.00°. The distinct sites, in fractional coordinates, are Cs at (0.000, 0.000, 0.000), Cs at (0.141, 0.500, 0.179), Cs at (0.193, 0.344, 0.731), Hg at (0.000, 0.104, 0.500) and O at (0.180, 0.500, 0.886).

The formation energy (no corrections) is -607 meV per atom.

=====

[2]
First-principles (PBE) data for TlZnC2 after structural relaxation, as listed in Alexandria via LeMat-Bulk.

It has space group Fm-3m (No. 225), with a = 6.017 Å, b = 6.017 Å, c = 6.017 Å, α = 90.00°, β = 90.00° and γ = 90.00°. The distinct sites, in fractional coordinates, are Tl at (0.000, 0.000, 0.000), Zn at (0.000, 0.000, 0.500) and C at (0.250, 0.250, 0.250).

The polymorph energy (0 for the lowest one) is 0.563 eV/atom. The calculation puts the formation energy at 2.389 eV/atom.

=====

[3]
First-principles (PBE) data for GaBi2HN after structural relaxation, as listed in Alexandria via LeMat-Bulk.

It has space group P4/mmm (No. 123), with a = 4.964 Å, b = 4.964 Å, c = 3.617 Å, α = 90.00°, β = 90.00° and γ = 90.00°. The distinct sites, in fractional coordinates, are Ga at (0.000, 0.000, 0.000), Bi at (0.000, 0.500, 0.500), H at (0.000, 0.000, 0.500) and N at (0.500, 0.500, 0.000).

The value obtained for the total energy is -3.453 eV per atom.

=====

[4]
First-principles (PBE) data for CoPb after structural relaxation, as listed in Alexandria via LeMat-Bulk.

It has space group P6_3/m (No. 176), with a = 9.9763 Å, b = 9.9763 Å, c = 3.7652 Å, α = 90.00°, β = 90.00° and γ = 120.00°. The distinct sites, in fractional coordinates, are Co at (0.0001, 0.4439, 0.2500) and Pb at (0.1748, 0.7638, 0.2500).

The calculation puts the formation energy at 0.559 eV/atom.

=====

Respective total magnetic moment values: 0.0, 0.0, 0.0, 1.0 μB/f.u..
Respective volume values: 627.8, 54.5, 89.1, 54.1 Å³/f.u..
Respective N(E_F) values: 6.42, 1.87, 2.17, 1.78 states/eV/f.u..